Material: Ba3Li2WO6
Method: DFT, GGA+U
State: relaxed

Values from the calculation:
Crystal system: trigonal
Final energy, eV/atom: -6.100
SG: No. 164

Unit cell a=5.8756 b=5.8756 c=7.2240 alpha=90.00 beta=90.00 gamma=120.00
Element x y z (fractional)
Li 0.3333 0.6667 0.2292
Li 0.6667 0.3333 0.7708
O 0.1578 0.8422 0.3415
O 0.1578 0.3155 0.3415
O 0.3155 0.1578 0.6585
O 0.8422 0.6845 0.6585
O 0.8422 0.1578 0.6585
O 0.6845 0.8422 0.3415
Ba 0.0000 0.0000 0.0000
Ba 0.3333 0.6667 0.6489
Ba 0.6667 0.3333 0.3511
W 0.0000 0.0000 0.5000